Record 1
Y2MnCuBr: relaxed, PBE-GGA.

Space-group type ... P4/mmm, No. 123
Crystal system ... tetragonal
Uncorrected formation energy ... 0.348 eV/atom
Final energy ... -5.2257 eV per atom

Lattice parameters (Å, degrees): 5.335 4.444 5.335 90.00 90.00 90.00
Last column: magnetic moment on the atom in μB.
Fractional coordinates of all 5 atoms:
Y  0.000  0.000  0.500  -0.11
Y  0.500  0.000  0.000  -0.07
Mn  0.000  0.500  0.000  3.15
Cu  0.500  0.500  0.500  0.01
Br  0.000  0.000  0.000  0.00

Record 2
Au: relaxed, PBE-GGA.

ΔE to the lowest computed polymorph ... 0.72 eV per formula unit
Space-group type ... Fd-3m, No. 227
Crystal system ... cubic
DFT formation energy ... 721 meV/atom
Final energy ... -2.5565 eV per atom

Lattice parameters (Å, degrees): 4.367 4.367 4.367 60.00 60.00 60.00
Fractional coordinates of all 2 atoms:
Au  0.000  0.000  0.000
Au  0.750  0.750  0.750

Record 3
Cs7HgAu4: relaxed, PBE-GGA.

Space-group type ... Cm, No. 8
Crystal system ... monoclinic
DFT formation energy ... -242 meV/atom
Final energy ... -1.8572 eV per atom

Lattice parameters (Å, degrees): 5.020 9.123 15.554 104.36 90.00 105.97
Fractional coordinates of all 12 atoms:
Cs  0.737  0.474  0.342
Cs  0.243  0.485  0.651
Cs  0.348  0.695  0.949
Cs  0.660  0.320  0.048
Cs  0.038  0.075  0.792
Cs  0.961  0.923  0.220
Cs  0.510  0.019  0.496
Hg  0.875  0.750  0.572
Au  0.697  0.394  0.820
Au  0.305  0.610  0.179
Au  0.005  0.010  0.010
Au  0.122  0.245  0.421

Record 4
Ba2LiMgIr: relaxed, PBE-GGA.

Space-group type ... P4/mmm, No. 123
Crystal system ... tetragonal
DFT formation energy ... -43 meV/atom
Final energy ... -3.2862 eV per atom

Lattice parameters (Å, degrees): 6.119 6.119 5.159 90.00 90.00 90.00
Fractional coordinates of all 5 atoms:
Mg  0.000  0.000  0.500
Ir  0.000  0.000  0.000
Ba  0.000  0.500  0.000
Ba  0.500  0.000  0.000
Li  0.500  0.500  0.500

Record 5
AcEuSnPt: relaxed, PBE-GGA.

Space-group type ... F-43m, No. 216
Crystal system ... cubic
DFT formation energy ... -713 meV/atom
Final energy ... -6.8195 eV per atom

Lattice parameters (Å, degrees): 5.467 5.467 5.467 60.00 60.00 60.00
Last column: magnetic moment on the atom in μB.
Fractional coordinates of all 4 atoms:
Eu  0.000  0.000  0.000  6.78
Ac  0.500  0.500  0.500  -0.01
Sn  0.250  0.250  0.250  -0.04
Pt  0.750  0.750  0.750  -0.05

Record 6
ZrNb3Ga4: relaxed, PBE-GGA.

Space-group type ... I4/mmm, No. 139
Crystal system ... tetragonal
DFT formation energy ... -75 meV/atom
Final energy ... -6.4332 eV per atom

Lattice parameters (Å, degrees): 5.319 5.319 10.628 90.00 90.00 90.00
Fractional coordinates of all 16 atoms:
Zr  0.064  0.250  0.000
Zr  0.564  0.750  0.500
Nb  0.564  0.750  0.000
Nb  0.064  0.750  0.250
Nb  0.564  0.250  0.250
Nb  0.064  0.250  0.500
Nb  0.564  0.250  0.750
Nb  0.064  0.750  0.750
Ga  0.064  0.750  0.000
Ga  0.564  0.250  0.000
Ga  0.064  0.250  0.254
Ga  0.564  0.750  0.246
Ga  0.064  0.750  0.500
Ga  0.564  0.250  0.500
Ga  0.564  0.750  0.754
Ga  0.064  0.250  0.746

Record 7
K2Pu2F7: relaxed, PBE-GGA.

Space-group type ... Cmmm, No. 65
Crystal system ... orthorhombic
Uncorrected formation energy ... -3.213 eV/atom
Final energy ... -7.2089 eV per atom

Lattice parameters (Å, degrees): 5.873 6.219 5.873 90.00 95.47 90.00
Last column: magnetic moment on the atom in μB.
Fractional coordinates of all 11 atoms:
K  0.749  0.500  0.749  0.00
K  0.251  0.500  0.251  0.00
Pu  0.725  0.000  0.275  5.39
Pu  0.275  0.000  0.725  5.39
F  0.000  0.229  0.500  -0.01
F  0.500  0.771  0.000  -0.01
F  0.000  0.771  0.500  -0.01
F  0.500  0.229  0.000  -0.01
F  0.000  0.000  0.000  -0.01
F  0.500  0.772  0.500  -0.01
F  0.500  0.228  0.500  -0.01

Record 8
TlFeRe4: relaxed, PBE-GGA.

Space-group type ... F-43m, No. 216
Crystal system ... cubic
DFT formation energy ... 807 meV/atom
Final energy ... -9.2971 eV per atom

Lattice parameters (Å, degrees): 5.248 5.248 5.248 60.00 60.00 60.00
Last column: magnetic moment on the atom in μB.
Fractional coordinates of all 6 atoms:
Tl  0.750  0.750  0.750  0.01
Fe  0.000  0.000  0.000  3.05
Re  0.876  0.375  0.375  0.03
Re  0.375  0.375  0.876  0.03
Re  0.375  0.876  0.375  0.03
Re  0.375  0.375  0.375  0.03

Record 9
CsK2Cd2Hg2: relaxed, PBE-GGA.

Space-group type ... R-3m, No. 166
Crystal system ... trigonal
DFT formation energy ... -144 meV/atom
Final energy ... -0.9276 eV per atom

Lattice parameters (Å, degrees): 5.347 5.347 12.203 77.34 77.34 60.00
Fractional coordinates of all 7 atoms:
Cs  0.000  0.000  0.000
K  0.129  0.129  0.613
K  0.871  0.871  0.387
Cd  0.744  0.744  0.768
Cd  0.256  0.256  0.232
Hg  0.590  0.590  0.230
Hg  0.410  0.410  0.770

Record 10
Ba3Te: relaxed, PBE-GGA.

ΔE to the lowest computed polymorph ... 0.94 eV per formula unit
Space-group type ... P6_3/mmc, No. 194
Crystal system ... hexagonal
Uncorrected formation energy ... -0.543 eV/atom
Final energy ... -2.7701 eV per atom

Lattice parameters (Å, degrees): 7.972 7.972 6.214 90.00 90.00 120.00
Fractional coordinates of all 8 atoms:
Ba  0.822  0.645  0.250
Ba  0.355  0.178  0.250
Ba  0.822  0.178  0.250
Ba  0.178  0.355  0.750
Ba  0.645  0.822  0.750
Ba  0.178  0.822  0.750
Te  0.333  0.667  0.250
Te  0.667  0.333  0.750

Record 11
SiNiAg: relaxed, PBE-GGA.

ΔE to the lowest computed polymorph ... 0.25 eV per formula unit
Space-group type ... P3m1, No. 156
Crystal system ... trigonal
Uncorrected formation energy ... 0.032 eV/atom
Final energy ... -4.6536 eV per atom

Lattice parameters (Å, degrees): 2.829 2.829 6.182 90.00 90.00 120.00
Fractional coordinates of all 3 atoms:
Ag  0.000  0.000  0.002
Ni  0.333  0.667  0.367
Si  0.667  0.333  0.631

Record 12
Cu3Ag2F8: relaxed, PBE-GGA.

Space-group type ... C2/m, No. 12
Crystal system ... monoclinic
Uncorrected formation energy ... -1.318 eV/atom
Final energy ... -3.8532 eV per atom

Lattice parameters (Å, degrees): 5.748 6.124 6.124 59.53 96.42 96.42
Last column: magnetic moment on the atom in μB.
Fractional coordinates of all 13 atoms:
Cu  0.500  0.000  0.000  0.68
Cu  0.000  0.749  0.251  0.69
Cu  0.000  0.251  0.749  0.69
Ag  0.522  0.721  0.721  0.08
Ag  0.478  0.279  0.279  0.08
F  0.857  0.397  0.397  0.12
F  0.143  0.603  0.603  0.12
F  0.852  0.894  0.894  0.10
F  0.148  0.106  0.106  0.10
F  0.679  0.322  0.878  0.09
F  0.679  0.878  0.322  0.09
F  0.321  0.122  0.678  0.09
F  0.321  0.678  0.122  0.09

Question: The highest final energy belongs to which entry?
Answer: CsK2Cd2Hg2

Question: Which of these has the highest final energy?
Answer: CsK2Cd2Hg2

Question: Which value of final energy does entry 5 give?
Answer: -6.8195 eV per atom